Record 1
Below is a geometry-optimized YIn2CoBi structure, with properties calculated at the PBE level.

The value obtained for the magnetic moment is 0.0 μB/cell. For the density of states at the Fermi level, the calculation gives 0.678 states/eV per atom. The formation energy is -193 meV/atom. The total energy is -23.9 eV per formula unit.

The space group is P4/mmm (No. 123) and the conventional cell measures 4.969, 4.969 and 5.127 Å, with angles of 90.00, 90.00 and 90.00 degrees. The asymmetric unit holds Y at (0.000, 0.000, 0.000), In at (0.000, 0.500, 0.500), Co at (0.000, 0.000, 0.500) and Bi at (0.500, 0.500, 0.000).

Record 2
Below is a geometry-optimized HfAsN structure, with properties calculated at the PBE level.

The value obtained for the magnetic moment is 3.8 μB/cell. The calculation puts the formation energy (no corrections) at -0.38 eV/atom. For the density of states at the Fermi level, the calculation gives 0.585 states/eV per atom. The total energy is -24.1 eV per formula unit.

The space group is Fddd (No. 70, origin choice 2) and the conventional cell measures 9.311, 9.641 and 10.668 Å, with angles of 90.00, 90.00 and 90.00 degrees. The asymmetric unit holds Hf at (0.125, 0.342, 0.125), As at (0.125, 0.125, 0.512) and N at (0.000, 0.000, 0.000).

Record 3
Below is a geometry-optimized SmThZnTc structure, with properties calculated at the PBE level.

The value obtained for the magnetic moment is 0.0 μB/cell. For the density of states at the Fermi level, the calculation gives 1.474 states/eV per atom. The formation energy is -85 meV/atom. The total energy is -24.1 eV per formula unit.

The space group is F-43m (No. 216) and the conventional cell measures 7.181, 7.181 and 7.181 Å, with angles of 90.00, 90.00 and 90.00 degrees. The asymmetric unit holds Sm at (0.000, 0.000, 0.000), Th at (0.000, 0.000, 0.500), Zn at (0.250, 0.250, 0.250) and Tc at (0.250, 0.250, 0.750).

Record 4
Below is a geometry-optimized NaTh2Hg6 structure, with properties calculated at the PBE level.

The value obtained for the magnetic moment is 0.0 μB/cell. For the density of states at the Fermi level, the calculation gives 0.560 states/eV per atom. The formation energy is -242 meV/atom. The total energy is -20.1 eV per formula unit.

The space group is P6/mmm (No. 191) and the conventional cell measures 8.8379, 8.8379 and 3.3670 Å, with angles of 90.00, 90.00 and 120.00 degrees. The asymmetric unit holds Na at (0.0000, 0.0000, 0.0000), Th at (0.3333, 0.6667, 0.0000) and Hg at (0.0000, 0.3301, 0.5000).

Record 5
Below is a geometry-optimized CeDy2CdC structure, with properties calculated at the PBE level.

The value obtained for the magnetic moment is 0.1 μB/cell. For the density of states at the Fermi level, the calculation gives 1.310 states/eV per atom. The formation energy is -259 meV/atom. The total energy is -26.6 eV per formula unit.

The space group is P4/mmm (No. 123) and the conventional cell measures 4.961, 4.961 and 4.903 Å, with angles of 90.00, 90.00 and 90.00 degrees. The asymmetric unit holds Ce at (0.000, 0.000, 0.000), Dy at (0.000, 0.500, 0.500), Cd at (0.500, 0.500, 0.000) and C at (0.000, 0.000, 0.500).

Record 6
Below is a geometry-optimized Tm4Pb3 structure, with properties calculated at the PBE level.

The value obtained for the magnetic moment is 0.0 μB/cell. For the density of states at the Fermi level, the calculation gives 0.111 states/eV per atom. The formation energy is -484 meV/atom. The total energy is -32.4 eV per formula unit.

The space group is I-43d (No. 220) and the conventional cell measures 9.283, 9.283 and 9.283 Å, with angles of 90.00, 90.00 and 90.00 degrees. The asymmetric unit holds Tm at (0.071, 0.429, 0.571) and Pb at (0.000, 0.250, 0.875).

Record 7
Below is a geometry-optimized TeMoW structure, with properties calculated at the PBE level.

The value obtained for the magnetic moment is 0.0 μB/cell. The calculation puts the formation energy (no corrections) at 0.65 eV/atom. For the density of states at the Fermi level, the calculation gives 0.565 states/eV per atom. The total energy is -25.0 eV per formula unit.

The space group is Imm2 (No. 44) and the conventional cell measures 3.126, 4.302 and 8.030 Å, with angles of 90.00, 90.00 and 90.00 degrees. The asymmetric unit holds Te at (0.000, 0.000, 0.000), Mo at (0.000, 0.000, 0.333) and W at (0.000, 0.000, 0.666).